# 1
An optimized crystal structure of Fe2Pt4Rh5, computed with GGA-PBE.

Cell lengths 2.723, 6.762, 8.766 Å; angles 85.14, 90.00, 90.00 degrees
Site moments in Bohr magnetons follow the coordinates.
Atoms (fractional coordinates):
Pt: 0.500 0.724 0.441  0.28
Pt: 0.500 0.169 0.112  0.15
Pt: 0.500 0.831 0.888  0.15
Pt: 0.500 0.276 0.559  0.28
Fe: 0.000 0.061 0.366  2.88
Fe: 0.000 0.939 0.634  2.88
Rh: 0.000 0.812 0.166  0.05
Rh: 0.000 0.432 0.299  0.19
Rh: 0.000 0.188 0.834  0.05
Rh: 0.000 0.500 0.000  -0.15
Rh: 0.000 0.568 0.701  0.19

Properties
Volume (Å³/cell): 160.83
Space-group type: P2/m (10)
Formation enthalpy at 0 K (meV/atom): 16
Calculated total energy (eV per atom): -7.06
Magnetic moment (μB/atom): 0.636

# 2
An optimized crystal structure of Fe2Pt7Rh, computed with GGA-PBE.

Cell lengths 3.943, 7.498, 7.498 Å; angles 122.90, 90.00, 90.00 degrees
Site moments in Bohr magnetons follow the coordinates.
Atoms (fractional coordinates):
Fe: 0.500 0.308 0.692  3.04
Fe: 0.500 0.692 0.308  3.04
Pt: 0.500 0.500 0.500  0.20
Pt: 0.000 0.201 0.799  0.30
Pt: 0.500 0.083 0.297  0.19
Pt: 0.500 0.703 0.917  0.19
Pt: 0.500 0.917 0.703  0.19
Pt: 0.500 0.297 0.083  0.19
Pt: 0.000 0.799 0.201  0.30
Rh: 0.000 0.000 0.000  0.23

Properties
Volume (Å³/cell): 186.12
Space-group type: Cmmm (65)
Formation enthalpy at 0 K (meV/atom): 430
Calculated total energy (eV per atom): -6.23
Magnetic moment (μB/atom): 0.800

# 3
An optimized crystal structure of FePtRh2, computed with GGA-PBE.

Cell lengths 4.338, 4.338, 4.338 Å; angles 60.00, 60.00, 60.00 degrees
Site moments in Bohr magnetons follow the coordinates.
Atoms (fractional coordinates):
Rh: 0.000 0.000 0.000  -0.28
Rh: 0.750 0.750 0.750  0.20
Pt: 0.250 0.250 0.250  0.12
Fe: 0.500 0.500 0.500  3.02

Properties
Volume (Å³/cell): 57.74
Space-group type: F-43m (216)
Formation enthalpy at 0 K (meV/atom): 120
Calculated total energy (eV per atom): -7.18
Magnetic moment (μB/atom): 0.761

# 4
An optimized crystal structure of Fe11Pt4Rh9, computed with GGA-PBE.

Cell lengths 2.742, 11.378, 11.378 Å; angles 112.45, 90.00, 90.00 degrees
Site moments in Bohr magnetons follow the coordinates.
Atoms (fractional coordinates):
Pt: 0.500 0.588 0.757  -0.08
Pt: 0.500 0.243 0.412  -0.08
Pt: 0.500 0.412 0.243  -0.08
Pt: 0.500 0.757 0.588  -0.08
Rh: 0.500 0.013 0.202  -0.10
Rh: 0.500 0.500 0.500  0.56
Rh: 0.500 0.202 0.013  -0.10
Rh: 0.500 0.798 0.987  -0.10
Rh: 0.500 0.832 0.386  -0.03
Rh: 0.500 0.987 0.798  -0.10
Rh: 0.500 0.168 0.614  -0.03
Rh: 0.500 0.614 0.168  -0.03
Rh: 0.500 0.386 0.832  -0.03
Fe: 0.000 0.036 0.406  -2.86
Fe: 0.000 0.623 0.377  2.96
Fe: 0.000 0.000 0.000  2.82
Fe: 0.000 0.187 0.813  2.85
Fe: 0.000 0.813 0.187  2.85
Fe: 0.000 0.207 0.207  -2.88
Fe: 0.000 0.594 0.964  -2.86
Fe: 0.000 0.377 0.623  2.96
Fe: 0.000 0.406 0.036  -2.86
Fe: 0.000 0.964 0.594  -2.86
Fe: 0.000 0.793 0.793  -2.88

Properties
Volume (Å³/cell): 328.05
Space-group type: Cmmm (65)
Formation enthalpy at 0 K (meV/atom): -69
Calculated total energy (eV per atom): -7.71
Magnetic moment (μB/atom): 0.126

# 5
An optimized crystal structure of FePtRh3, computed with GGA-PBE.

Cell lengths 4.040, 5.391, 6.860 Å; angles 90.00, 107.17, 90.00 degrees
Site moments in Bohr magnetons follow the coordinates.
Atoms (fractional coordinates):
Rh: 0.798 0.750 0.096  0.28
Rh: 0.390 0.003 0.280  0.22
Rh: 0.610 0.997 0.720  0.22
Rh: 0.390 0.497 0.280  0.22
Rh: 0.202 0.250 0.904  0.28
Rh: 0.610 0.503 0.720  0.22
Pt: 0.002 0.750 0.504  0.07
Pt: 0.998 0.250 0.496  0.07
Fe: 0.194 0.750 0.888  2.88
Fe: 0.806 0.250 0.112  2.88

Properties
Volume (Å³/cell): 142.75
Space-group type: Cmcm (63)
Formation enthalpy at 0 K (meV/atom): 20
Calculated total energy (eV per atom): -7.29
Polymorph energy (0 for the lowest one) (eV per atom): 0.0000
Magnetic moment (μB/atom): 0.737

# 6
An optimized crystal structure of Fe2Pt5Rh4, computed with GGA-PBE.

Cell lengths 5.363, 5.363, 7.795 Å; angles 65.37, 65.37, 59.24 degrees
Site moments in Bohr magnetons follow the coordinates.
Atoms (fractional coordinates):
Fe: 0.856 0.856 0.152  3.06
Fe: 0.144 0.144 0.848  3.06
Rh: 0.352 0.352 0.515  0.92
Rh: 0.676 0.676 0.799  0.45
Rh: 0.324 0.324 0.201  0.45
Rh: 0.648 0.648 0.485  0.92
Pt: 0.000 0.000 0.500  0.23
Pt: 0.163 0.655 0.839  0.25
Pt: 0.345 0.837 0.161  0.25
Pt: 0.837 0.345 0.161  0.25
Pt: 0.655 0.163 0.839  0.25

Properties
Volume (Å³/cell): 169.07
Space-group type: C2/m (12)
Formation enthalpy at 0 K (meV/atom): 120
Calculated total energy (eV per atom): -6.84
Magnetic moment (μB/atom): 0.927

# 7
An optimized crystal structure of FePtRh2, computed with GGA-PBE.

Cell lengths 4.691, 4.691, 2.744 Å; angles 90.00, 90.00, 109.18 degrees
Site moments in Bohr magnetons follow the coordinates.
Atoms (fractional coordinates):
Fe: 0.500 0.000 0.500  3.14
Rh: 0.500 0.500 0.000  0.39
Rh: 0.000 0.000 0.000  0.39
Pt: 0.000 0.500 0.500  0.17

Properties
Volume (Å³/cell): 57.02
Space-group type: Cmmm (65)
Formation enthalpy at 0 K (meV/atom): -71
Calculated total energy (eV per atom): -7.37
Magnetic moment (μB/atom): 1.020

# 8
An optimized crystal structure of FePtRh2, computed with GGA-PBE.

Cell lengths 3.806, 2.723, 6.104 Å; angles 63.52, 90.00, 90.00 degrees
Site moments in Bohr magnetons follow the coordinates.
Atoms (fractional coordinates):
Pt: 0.500 0.757 0.744  0.16
Rh: 0.000 0.991 0.009  -0.04
Rh: 0.500 0.249 0.251  0.11
Fe: 0.000 0.503 0.497  2.98

Properties
Volume (Å³/cell): 56.61
Space-group type: Pmm2 (25)
Formation enthalpy at 0 K (meV/atom): -78
Calculated total energy (eV per atom): -7.38
Magnetic moment (μB/atom): 0.798